Pr3SnRh3 after structural relaxation. Source: Alexandria, functional GGA-PBE.

Properties
SG: No. 176
E above lowest polymorph: 272.9 meV/atom
Formation enthalpy at 0 K: -0.44 eV/atom
ρ: 7.3 g/cm³
Crystal system: hexagonal

```
data_Pr3SnRh3
_chemical_formula_sum 'Pr6 Sn2 Rh6'
_cell_length_a 5.745
_cell_length_b 8.810
_cell_length_c 8.810
_cell_angle_alpha 120.00
_cell_angle_beta 90.00
_cell_angle_gamma 90.00
_symmetry_space_group_name_H-M 'P 1'
_symmetry_Int_Tables_number 1
loop_
_symmetry_equiv_pos_as_xyz
'x,y,z'
loop_
_atom_site_label
_atom_site_fract_x
_atom_site_fract_y
_atom_site_fract_z
Pr1 0.750 0.692 0.640
Pr2 0.750 0.360 0.052
Pr3 0.750 0.948 0.308
Pr4 0.250 0.308 0.360
Pr5 0.250 0.640 0.948
Pr6 0.250 0.052 0.692
Sn1 0.250 0.667 0.333
Sn2 0.750 0.333 0.667
Rh1 0.250 0.690 0.640
Rh2 0.250 0.360 0.050
Rh3 0.250 0.950 0.310
Rh4 0.750 0.310 0.360
Rh5 0.750 0.640 0.950
Rh6 0.750 0.050 0.690
```

***

DyHo2H8 after structural relaxation. Source: Alexandria, functional GGA-PBE.

Properties
SG: No. 71
Energy: -4.32 eV/atom
ρ: 8.3 g/cm³
Crystal system: orthorhombic

```
data_DyHo2H8
_chemical_formula_sum 'Dy1 Ho2 H8'
_cell_length_a 3.617
_cell_length_b 5.117
_cell_length_c 6.267
_cell_angle_alpha 114.10
_cell_angle_beta 106.77
_cell_angle_gamma 90.00
_symmetry_space_group_name_H-M 'P 1'
_symmetry_Int_Tables_number 1
loop_
_symmetry_equiv_pos_as_xyz
'x,y,z'
loop_
_atom_site_label
_atom_site_fract_x
_atom_site_fract_y
_atom_site_fract_z
Dy1 0.500 0.000 0.000
Ho1 0.168 0.668 0.337
Ho2 0.832 0.332 0.663
H1 0.662 0.901 0.324
H2 0.338 0.577 0.676
H3 0.158 0.158 0.315
H4 0.000 0.272 0.000
H5 0.842 0.842 0.685
H6 0.662 0.423 0.324
H7 0.338 0.099 0.676
H8 0.000 0.728 0.000
```